Record 1
A geometry-optimized CdSbSe structure. Source: the Alexandria database, functional PBE-GGA.

Values from the calculation:
Energy above the most stable polymorph in this dataset ... 376 meV/atom
Uncorrected formation energy ... 0.02 eV per atom

Cell lengths 6.0204, 6.0204, 6.0204 Å; angles 142.90, 142.92, 53.46 degrees
Atoms (fractional coordinates):
1 Se 0.3802 0.3802 0.0000
2 Cd 0.9823 0.9823 0.0000
3 Sb 0.6375 0.6375 0.0000

Record 2
A geometry-optimized CdSbSe structure. Source: the Alexandria database, functional PBE-GGA.

Values from the calculation:
Energy above the most stable polymorph in this dataset ... 23 meV/atom
Uncorrected formation energy ... -0.33 eV per atom

Cell lengths 4.3120, 4.3120, 34.9819 Å; angles 90.00, 90.00, 120.00 degrees
Atoms (fractional coordinates):
1 Se 0.6667 0.3333 0.7225
2 Sb 0.3333 0.6667 0.9017
3 Sb 0.0000 0.0000 0.2351
4 Cd 0.3333 0.6667 0.1342
5 Se 0.3333 0.6667 0.0559
6 Sb 0.3333 0.6667 0.6130
7 Cd 0.6667 0.3333 0.3632
8 Se 0.0000 0.0000 0.8288
9 Se 0.3333 0.6667 0.4955
10 Cd 0.3333 0.6667 0.6966
11 Cd 0.6667 0.3333 0.8009
12 Cd 0.0000 0.0000 0.0299
13 Se 0.6667 0.3333 0.1622
14 Sb 0.0000 0.0000 0.9464
15 Sb 0.6667 0.3333 0.5684
16 Se 0.0000 0.0000 0.3892
17 Sb 0.6667 0.3333 0.2797
18 Cd 0.0000 0.0000 0.4676

Record 3
A geometry-optimized CdSbSe4 structure. Source: the Alexandria database, functional PBE-GGA.

Values from the calculation:
Uncorrected formation energy ... 0.49 eV per atom

Cell lengths 5.8164, 5.8164, 5.8164 Å; angles 60.00, 60.00, 60.00 degrees
Atoms (fractional coordinates):
1 Se 0.8706 0.3765 0.3765
2 Cd 0.7500 0.7500 0.7500
3 Se 0.3765 0.3765 0.8706
4 Se 0.3765 0.8706 0.3765
5 Sb 0.0000 0.0000 0.0000
6 Se 0.3765 0.3765 0.3765

Record 4
A geometry-optimized CdSbSe structure. Source: the Alexandria database, functional PBE-GGA.

Values from the calculation:
Energy above the most stable polymorph in this dataset ... 59 meV/atom
Uncorrected formation energy ... -0.30 eV per atom

Cell lengths 4.2633, 4.5929, 10.1027 Å; angles 89.54, 77.85, 89.89 degrees
Atoms (fractional coordinates):
1 Se 0.9634 0.9623 0.2044
2 Sb 0.2067 0.6758 0.7155
3 Se 0.3139 0.3242 0.5052
4 Cd 0.5429 0.8563 0.0461
5 Sb 0.6333 0.3885 0.8633
6 Cd 0.8881 0.4796 0.3562

Record 5
A geometry-optimized CdSbSe structure. Source: the Alexandria database, functional PBE-GGA.

Values from the calculation:
Energy above the most stable polymorph in this dataset ... 559 meV/atom
Uncorrected formation energy ... 0.20 eV per atom

Cell lengths 4.9950, 4.9950, 4.9950 Å; angles 60.00, 60.00, 60.00 degrees
Atoms (fractional coordinates):
1 Cd 0.5000 0.5000 0.5000
2 Sb 0.7500 0.7500 0.7500
3 Se 0.0000 0.0000 0.0000

Record 6
A geometry-optimized CdSbSe structure. Source: the Alexandria database, functional PBE-GGA.

Values from the calculation:
Energy above the most stable polymorph in this dataset ... 651 meV/atom
Uncorrected formation energy ... 0.30 eV per atom

Cell lengths 4.9629, 4.9629, 4.9629 Å; angles 60.00, 60.00, 60.00 degrees
Atoms (fractional coordinates):
1 Cd 0.0000 0.0000 0.0000
2 Sb 0.5000 0.5000 0.5000
3 Se 0.7500 0.7500 0.7500

Record 7
A geometry-optimized Cd6Sb2Se structure. Source: the Alexandria database, functional PBE-GGA.

Values from the calculation:
Uncorrected formation energy ... -0.10 eV per atom

Cell lengths 5.8904, 7.4191, 11.6955 Å; angles 90.10, 90.00, 90.00 degrees
Atoms (fractional coordinates):
1 Se 0.0000 0.0000 0.5000
2 Cd 0.1864 0.7131 0.1316
3 Sb 0.0018 0.5016 0.6893
4 Sb 0.5018 0.9984 0.8107
5 Se 0.5000 0.5000 0.0000
6 Cd 0.7197 0.3221 0.5019
7 Cd 0.2197 0.1779 0.9981
8 Cd 0.2803 0.6779 0.4981
9 Cd 0.6864 0.7869 0.3684
10 Cd 0.3136 0.2131 0.6316
11 Sb 0.9982 0.4984 0.3107
12 Cd 0.1839 0.7152 0.8715
13 Cd 0.3161 0.2152 0.3715
14 Cd 0.8161 0.2848 0.1285
15 Sb 0.4982 0.0016 0.1893
16 Cd 0.7803 0.8221 0.0019
17 Cd 0.8136 0.2869 0.8684
18 Cd 0.6839 0.7848 0.6285

Record 8
A geometry-optimized CdSbSe structure. Source: the Alexandria database, functional PBE-GGA.

Values from the calculation:
Energy above the most stable polymorph in this dataset ... 13 meV/atom
Uncorrected formation energy ... -0.34 eV per atom

Cell lengths 4.3229, 4.3229, 11.5853 Å; angles 90.00, 90.00, 120.00 degrees
Atoms (fractional coordinates):
1 Cd 0.0000 0.0000 0.5977
2 Sb 0.3333 0.6667 0.1625
3 Se 0.0000 0.0000 0.8325
4 Cd 0.3333 0.6667 0.9113
5 Se 0.6667 0.3333 0.5101
6 Sb 0.0000 0.0000 0.2951

Copy entry 8 word for word.
A geometry-optimized CdSbSe structure. Source: the Alexandria database, functional PBE-GGA.

Values from the calculation:
Energy above the most stable polymorph in this dataset ... 13 meV/atom
Uncorrected formation energy ... -0.34 eV per atom

Cell lengths 4.3229, 4.3229, 11.5853 Å; angles 90.00, 90.00, 120.00 degrees
Atoms (fractional coordinates):
1 Cd 0.0000 0.0000 0.5977
2 Sb 0.3333 0.6667 0.1625
3 Se 0.0000 0.0000 0.8325
4 Cd 0.3333 0.6667 0.9113
5 Se 0.6667 0.3333 0.5101
6 Sb 0.0000 0.0000 0.2951